[1]
# MnZn2Pd8, relaxed, DFT PBE-GGA
# total magnetization	0.42	μB/atom
# total energy	-5.1025	eV/atom
# relative energy among the computed polymorphs	47.8	meV per atom
# symmetry	No. 71
data_MnZn2Pd8
_symmetry_space_group_name_H-M 'P 1'
_symmetry_Int_Tables_number 1
_symmetry_space_group_name_Hall 'P 1'
_cell_length_a 4.1064
_cell_length_b 6.9165
_cell_length_c 7.1970
_cell_angle_alpha 118.72
_cell_angle_beta 106.58
_cell_angle_gamma 90.00
loop_
_atom_site_label
_atom_site_type_symbol
_atom_site_fract_x
_atom_site_fract_y
_atom_site_fract_z
_atom_site_occupancy
Pd1 Pd 0.3418 0.1203 0.6835 1
Pd2 Pd 0.0000 0.3029 0.0000 1
Zn1 Zn 0.1936 0.6936 0.3872 1
Pd3 Pd 0.1477 0.1477 0.2954 1
Pd4 Pd 0.0000 0.6971 0.0000 1
Pd5 Pd 0.6582 0.4368 0.3165 1
Pd6 Pd 0.8523 0.8523 0.7046 1
Pd7 Pd 0.3418 0.5632 0.6835 1
Pd8 Pd 0.6582 0.8797 0.3165 1
Zn2 Zn 0.8064 0.3064 0.6128 1
Mn1 Mn 0.5000 0.0000 0.0000 1


[2]
# Mn3ZnPd12, relaxed, DFT PBE-GGA
# total magnetization	0.82	μB/atom
# total energy	-5.9366	eV/atom
# symmetry	No. 123
data_Mn3ZnPd12
_symmetry_space_group_name_H-M 'P 1'
_symmetry_Int_Tables_number 1
_symmetry_space_group_name_Hall 'P 1'
_cell_length_a 3.9267
_cell_length_b 3.9267
_cell_length_c 15.6205
_cell_angle_alpha 90.00
_cell_angle_beta 90.00
_cell_angle_gamma 90.00
loop_
_atom_site_label
_atom_site_type_symbol
_atom_site_fract_x
_atom_site_fract_y
_atom_site_fract_z
_atom_site_occupancy
Pd1 Pd 0.5000 0.5000 0.7501 1
Pd2 Pd 0.5000 0.0000 0.8752 1
Pd3 Pd 0.0000 0.5000 0.1248 1
Mn1 Mn 0.0000 0.0000 0.5000 1
Pd4 Pd 0.5000 0.0000 0.6253 1
Mn2 Mn 0.0000 0.0000 0.2488 1
Pd5 Pd 0.5000 0.5000 0.0000 1
Pd6 Pd 0.0000 0.5000 0.8752 1
Pd7 Pd 0.5000 0.5000 0.2499 1
Mn3 Mn 0.0000 0.0000 0.7512 1
Zn1 Zn 0.0000 0.0000 0.0000 1
Pd8 Pd 0.0000 0.5000 0.6253 1
Pd9 Pd 0.0000 0.5000 0.3747 1
Pd10 Pd 0.5000 0.5000 0.5000 1
Pd11 Pd 0.5000 0.0000 0.3747 1
Pd12 Pd 0.5000 0.0000 0.1248 1


[3]
# MnZnPd14, relaxed, DFT PBE-GGA
# total magnetization	0.32	μB/atom
# total energy	-5.3130	eV/atom
# symmetry	No. 38
data_MnZnPd14
_symmetry_space_group_name_H-M 'P 1'
_symmetry_Int_Tables_number 1
_symmetry_space_group_name_Hall 'P 1'
_cell_length_a 5.5358
_cell_length_b 5.5358
_cell_length_c 9.1001
_cell_angle_alpha 90.00
_cell_angle_beta 90.00
_cell_angle_gamma 119.07
loop_
_atom_site_label
_atom_site_type_symbol
_atom_site_fract_x
_atom_site_fract_y
_atom_site_fract_z
_atom_site_occupancy
Pd1 Pd 0.8752 0.1248 0.7482 1
Pd2 Pd 0.7040 0.7957 0.0000 1
Pd3 Pd 0.2043 0.2960 0.0000 1
Pd4 Pd 0.8726 0.6266 0.7415 1
Pd5 Pd 0.8752 0.1248 0.2518 1
Pd6 Pd 0.2036 0.7964 0.0000 1
Pd7 Pd 0.3751 0.6249 0.7482 1
Pd8 Pd 0.8726 0.6266 0.2585 1
Zn1 Zn 0.5472 0.4528 0.5000 1
Pd9 Pd 0.3751 0.6249 0.2518 1
Pd10 Pd 0.3734 0.1274 0.7415 1
Pd11 Pd 0.0498 0.4509 0.5000 1
Pd12 Pd 0.5491 0.9502 0.5000 1
Pd13 Pd 0.3734 0.1274 0.2585 1
Mn1 Mn 0.0459 0.9541 0.5000 1
Pd14 Pd 0.7034 0.2966 0.0000 1


[4]
# MnZnPd4, relaxed, DFT PBE-GGA
# total magnetization	0.76	μB/atom
# total energy	-5.2667	eV/atom
# relative energy among the computed polymorphs	254.6	meV per atom
# symmetry	No. 15
data_MnZnPd4
_symmetry_space_group_name_H-M 'P 1'
_symmetry_Int_Tables_number 1
_symmetry_space_group_name_Hall 'P 1'
_cell_length_a 5.8948
_cell_length_b 5.8947
_cell_length_c 7.1945
_cell_angle_alpha 114.03
_cell_angle_beta 114.02
_cell_angle_gamma 89.98
loop_
_atom_site_label
_atom_site_type_symbol
_atom_site_fract_x
_atom_site_fract_y
_atom_site_fract_z
_atom_site_occupancy
Zn1 Zn 0.8751 0.1250 0.2501 1
Mn1 Mn 0.6250 0.3751 0.7501 1
Mn2 Mn 0.3750 0.6249 0.2499 1
Pd1 Pd 0.7507 0.9996 0.5000 1
Pd2 Pd 0.2483 0.4995 0.4999 1
Pd3 Pd 0.0004 0.2492 0.0001 1
Pd4 Pd 0.4995 0.2482 0.9999 1
Pd5 Pd 0.9996 0.7508 0.9999 1
Zn2 Zn 0.1249 0.8750 0.7499 1
Pd6 Pd 0.7517 0.5005 0.5001 1
Pd7 Pd 0.2493 0.0004 0.5000 1
Pd8 Pd 0.5005 0.7518 0.0001 1


[5]
# MnZnPd6, relaxed, DFT PBE-GGA
# total magnetization	0.48	μB/atom
# total energy	-5.4636	eV/atom
# relative energy among the computed polymorphs	0.0	meV per atom
# symmetry	No. 123
data_MnZnPd6
_symmetry_space_group_name_H-M 'P 1'
_symmetry_Int_Tables_number 1
_symmetry_space_group_name_Hall 'P 1'
_cell_length_a 3.9133
_cell_length_b 3.9133
_cell_length_c 7.8377
_cell_angle_alpha 90.00
_cell_angle_beta 90.00
_cell_angle_gamma 90.00
loop_
_atom_site_label
_atom_site_type_symbol
_atom_site_fract_x
_atom_site_fract_y
_atom_site_fract_z
_atom_site_occupancy
Mn1 Mn 0.0000 0.0000 0.5000 1
Pd1 Pd 0.5000 0.0000 0.7494 1
Zn1 Zn 0.0000 0.0000 0.0000 1
Pd2 Pd 0.5000 0.5000 0.0000 1
Pd3 Pd 0.0000 0.5000 0.7494 1
Pd4 Pd 0.5000 0.5000 0.5000 1
Pd5 Pd 0.5000 0.0000 0.2506 1
Pd6 Pd 0.0000 0.5000 0.2506 1


[6]
# MnZn2Pd8, relaxed, DFT PBE-GGA
# total magnetization	0.44	μB/atom
# total energy	-5.1503	eV/atom
# relative energy among the computed polymorphs	0.0	meV per atom
# symmetry	No. 12
data_MnZn2Pd8
_symmetry_space_group_name_H-M 'P 1'
_symmetry_Int_Tables_number 1
_symmetry_space_group_name_Hall 'P 1'
_cell_length_a 4.0158
_cell_length_b 6.2363
_cell_length_c 7.2028
_cell_angle_alpha 106.73
_cell_angle_beta 106.19
_cell_angle_gamma 90.00
loop_
_atom_site_label
_atom_site_type_symbol
_atom_site_fract_x
_atom_site_fract_y
_atom_site_fract_z
_atom_site_occupancy
Pd1 Pd 0.8571 0.8033 0.7143 1
Pd2 Pd 0.3206 0.0811 0.6412 1
Zn1 Zn 0.7762 0.3525 0.5524 1
Pd3 Pd 0.9562 0.2699 0.9124 1
Mn1 Mn 0.5000 0.0000 0.0000 1
Zn2 Zn 0.2238 0.6475 0.4476 1
Pd4 Pd 0.6794 0.9189 0.3588 1
Pd5 Pd 0.4018 0.5402 0.8037 1
Pd6 Pd 0.0438 0.7301 0.0876 1
Pd7 Pd 0.1429 0.1967 0.2857 1
Pd8 Pd 0.5982 0.4598 0.1963 1


[7]
# Mn2ZnPd3, relaxed, DFT PBE-GGA
# total magnetization	1.49	μB/atom
# total energy	-6.1867	eV/atom
# symmetry	No. 65
data_Mn2ZnPd3
_symmetry_space_group_name_H-M 'P 1'
_symmetry_Int_Tables_number 1
_symmetry_space_group_name_Hall 'P 1'
_cell_length_a 3.4171
_cell_length_b 4.1873
_cell_length_c 6.5864
_cell_angle_alpha 108.53
_cell_angle_beta 90.00
_cell_angle_gamma 90.00
loop_
_atom_site_label
_atom_site_type_symbol
_atom_site_fract_x
_atom_site_fract_y
_atom_site_fract_z
_atom_site_occupancy
Pd1 Pd 0.5000 0.1658 0.3316 1
Zn1 Zn 0.0000 0.0000 0.0000 1
Pd2 Pd 0.5000 0.8342 0.6684 1
Mn1 Mn 0.0000 0.3335 0.6669 1
Pd3 Pd 0.5000 0.5000 0.0000 1
Mn2 Mn 0.0000 0.6665 0.3331 1


[8]
# MnZnPd3, relaxed, DFT PBE-GGA
# total magnetization	0.40	μB/atom
# total energy	-5.3052	eV/atom
# relative energy among the computed polymorphs	262.9	meV per atom
# symmetry	No. 15
data_MnZnPd3
_symmetry_space_group_name_H-M 'P 1'
_symmetry_Int_Tables_number 1
_symmetry_space_group_name_Hall 'P 1'
_cell_length_a 7.0552
_cell_length_b 6.8497
_cell_length_c 6.8497
_cell_angle_alpha 85.63
_cell_angle_beta 70.94
_cell_angle_gamma 70.94
loop_
_atom_site_label
_atom_site_type_symbol
_atom_site_fract_x
_atom_site_fract_y
_atom_site_fract_z
_atom_site_occupancy
Pd1 Pd 0.4359 0.6153 0.7086 1
Pd2 Pd 0.5641 0.3847 0.2914 1
Pd3 Pd 0.0641 0.2914 0.3847 1
Pd4 Pd 0.8912 0.9783 0.2986 1
Pd5 Pd 0.0323 0.6859 0.9679 1
Mn1 Mn 0.7020 0.2398 0.5992 1
Pd6 Pd 0.1088 0.0217 0.7014 1
Pd7 Pd 0.6088 0.7014 0.0217 1
Zn1 Zn 0.2500 0.3567 0.6433 1
Pd8 Pd 0.9677 0.3141 0.0321 1
Pd9 Pd 0.3912 0.2986 0.9783 1
Pd10 Pd 0.5323 0.9679 0.6859 1
Zn2 Zn 0.7500 0.6433 0.3567 1
Pd11 Pd 0.4677 0.0321 0.3141 1
Zn3 Zn 0.7500 0.0380 0.9620 1
Pd12 Pd 0.9359 0.7086 0.6153 1
Mn2 Mn 0.2980 0.7602 0.4008 1
Zn4 Zn 0.2500 0.9620 0.0380 1
Mn3 Mn 0.7980 0.4008 0.7602 1
Mn4 Mn 0.2020 0.5992 0.2398 1


| no. | formation enthalpy at 0 K (eV per formula unit) |
| --- | --- |
| 1 | -2.87 |
| 2 | -3.89 |
| 3 | -1.86 |
| 4 | -0.39 |
| 5 | -2.11 |
| 6 | -3.39 |
| 7 | -1.93 |
| 8 | -0.50 |